Record 1
Density functional theory data (PBE) for MnCu2Re after structural relaxation.

Spin magnetization, μB/cell: 0.00
ΔE to the lowest computed polymorph, meV/atom: 772
DFT formation energy, eV/atom: 0.96

Cell: 6.6972 6.6972 4.7982 Å, 90.00 90.00 90.00°
Last column: nearest neighbours and their distance in Å.
Space group I-42d (No. 122)
One atom of each set of equivalent atoms:
1 Mn 0.0000 0.0000 0.0000  4 Cu 2.38, 2 Re 2.40
2 Cu 0.2352 0.2500 0.1250  2 Mn 2.38, 2 Cu 2.41, 2 Re 2.51
3 Re 0.0000 0.0000 0.5000  2 Mn 2.40, 4 Cu 2.51

Record 2
Density functional theory data (PBE) for Li2SbMoN after structural relaxation.

Spin magnetization, μB/cell: 1.11
Formation energy without anion corrections, eV per atom: -0.353

Cell: 4.1812 4.1812 4.0163 Å, 90.00 90.00 90.00°
Last column: nearest neighbours and their distance in Å.
Space group P4/mmm (No. 123)
One atom of each set of equivalent atoms:
1 Li 0.0000 0.5000 0.0000  2 N 2.09
2 Sb 0.0000 0.0000 0.5000  8 Li 2.90, 4 Mo 2.96
3 Mo 0.5000 0.5000 0.5000  2 N 2.01
4 N 0.5000 0.5000 0.0000  2 Mo 2.01, 4 Li 2.09

Record 3
Density functional theory data (PBE) for TiZn3Pt12 after structural relaxation.

Spin magnetization, μB/cell: 0.00
DFT formation energy, eV/atom: -0.50

Cell: 3.9370 3.9370 15.6996 Å, 90.00 90.00 90.00°
Last column: nearest neighbours and their distance in Å.
Space group P4/mmm (No. 123)
One atom of each set of equivalent atoms:
1 Ti 0.0000 0.0000 0.0000  12 Pt 2.76-2.78
2 Zn 0.0000 0.0000 0.2522  12 Pt 2.76-2.82
3 Zn 0.0000 0.0000 0.5000  12 Pt 2.78
4 Pt 0.0000 0.5000 0.1231  8 Pt 2.76-2.79, 2 Ti 2.76, 2 Zn 2.82
5 Pt 0.0000 0.5000 0.3750  4 Zn 2.76-2.78, 8 Pt 2.78-2.79
6 Pt 0.5000 0.5000 0.0000  8 Pt 2.76, 4 Ti 2.78
7 Pt 0.5000 0.5000 0.2493  4 Zn 2.78, 8 Pt 2.79
8 Pt 0.5000 0.5000 0.5000  8 Pt 2.78, 4 Zn 2.78

Record 4
Density functional theory data (PBE) for Rb2PtBr after structural relaxation.

Spin magnetization, μB/cell: 4.00
Formation energy without anion corrections, eV per atom: -0.336
ΔE to the lowest computed polymorph, meV/atom: 0

Cell: 8.3807 8.3807 8.3807 Å, 90.00 90.00 90.00°
Last column: nearest neighbours and their distance in Å.
Space group Fm-3m (No. 225)
One atom of each set of equivalent atoms:
1 Rb 0.2500 0.2500 0.2500  4 Br 3.63, 4 Pt 3.63
2 Pt 0.0000 0.0000 0.0000  8 Rb 3.63
3 Br 0.0000 0.0000 0.5000  8 Rb 3.63

Record 5
Density functional theory data (PBE) for Lu2MgRu after structural relaxation.

Spin magnetization, μB/cell: 0.00
ΔE to the lowest computed polymorph, meV/atom: 118
DFT formation energy, eV/atom: -0.26

Cell: 6.9587 6.9587 6.9587 Å, 90.00 90.00 90.00°
Last column: nearest neighbours and their distance in Å.
Space group Fm-3m (No. 225)
One atom of each set of equivalent atoms:
1 Lu 0.2500 0.2500 0.2500  4 Ru 3.01, 4 Mg 3.01
2 Mg 0.0000 0.0000 0.0000  8 Lu 3.01
3 Ru 0.0000 0.0000 0.5000  8 Lu 3.01

Record 6
Density functional theory data (PBE) for Cs2CeI2Br4 after structural relaxation.

Spin magnetization, μB/cell: 0.00
Formation energy without anion corrections, eV per atom: -1.628

Cell: 8.3069 8.3069 11.6456 Å, 90.00 90.00 90.00°
Last column: nearest neighbours and their distance in Å.
Space group I4/mmm (No. 139)
One atom of each set of equivalent atoms:
1 Cs 0.0000 0.5000 0.2500  8 Br 4.14, 4 I 4.16
2 Ce 0.0000 0.0000 0.0000  4 Br 2.79, 2 I 3.04
3 I 0.0000 0.0000 0.2612  1 Ce 3.04
4 Br 0.2377 0.2377 0.0000  1 Ce 2.79

Record 7
Density functional theory data (PBE) for Nd3Sm2Pt2 after structural relaxation.

Spin magnetization, μB/cell: 0.00
DFT formation energy, eV/atom: -0.69

Cell: 3.8869 6.5547 8.9345 Å, 71.67 77.49 72.78°
Last column: nearest neighbours and their distance in Å.
Space group P-1 (No. 2)
One atom of each set of equivalent atoms:
1 Nd 0.0000 0.0000 0.0000  4 Pt 3.04
2 Nd 0.1135 0.2042 0.5671  3 Pt 2.97-3.10
3 Sm 0.3351 0.5183 0.8124  2 Pt 2.97
4 Pt 0.3268 0.1113 0.2354  2 Sm 2.97, 5 Nd 2.97-3.10

Record 8
Density functional theory data (PBE) for PrEr4Ag after structural relaxation.

Spin magnetization, μB/cell: 0.00
ΔE to the lowest computed polymorph, meV/atom: 134
DFT formation energy, eV/atom: 0.06

Cell: 5.3712 21.1181 6.4834 Å, 90.00 90.00 90.00°
Last column: nearest neighbours and their distance in Å.
Space group Cmc2_1 (No. 36)
One atom of each set of equivalent atoms:
1 Pr 0.0000 0.1369 0.0000  2 Ag 3.28, 9 Er 3.49-3.63
2 Er 0.0000 0.0670 0.5122  2 Ag 3.20, 1 Pr 3.49, 2 Er 3.55
3 Er 0.0000 0.2614 0.6353  1 Ag 3.06, 2 Er 3.25
4 Er 0.0000 0.3256 0.1427  1 Ag 2.92, 3 Er 3.25
5 Er 0.0000 0.4650 0.3556  2 Ag 2.90-2.98
6 Ag 0.0000 0.4005 0.7648  6 Er 2.90-3.20